First-principles (PBE) data for a relaxed structure of Ac5Th3Bi12, as listed in the Alexandria database.

ΔH_f (0 K) (eV per atom): -0.244

Structure (CIF):
```
data_Ac5Th3Bi12
_space_group_name_H-M_alt 'I a -3 d'
_space_group_IT_number 230
_space_group_name_Hall '-I 4bd 2c 3'
_cell_length_a 19.265
_cell_length_b 19.265
_cell_length_c 19.265
_cell_angle_alpha 90.00
_cell_angle_beta 90.00
_cell_angle_gamma 90.00
loop_
_atom_site_label
_atom_site_type_symbol
_atom_site_fract_x
_atom_site_fract_y
_atom_site_fract_z
Ac1 Ac 0.000 0.000 0.000
Ac2 Ac 0.000 0.250 0.375
Th1 Th 0.000 0.250 0.125
Bi1 Bi 0.012 0.086 0.658
```



First-principles (PBE) data for a relaxed structure of AcThBi, as listed in the Alexandria database.

Excess energy over the best structure of this formula in the dataset (eV/f.u.): 0.70
ΔH_f (0 K) (eV per atom): -0.094

Structure (CIF):
```
data_AcThBi
_space_group_name_H-M_alt 'P 3 m 1'
_space_group_IT_number 156
_cell_length_a 5.7304
_cell_length_b 5.7304
_cell_length_c 3.8252
_cell_angle_alpha 90.00
_cell_angle_beta 90.00
_cell_angle_gamma 120.00
loop_
_space_group_symop_operation_xyz
'x,y,z'
'-y,x-y,z'
'-x+y,-x,z'
'-y,-x,z'
'-x+y,y,z'
'x,x-y,z'
loop_
_atom_site_label
_atom_site_type_symbol
_atom_site_fract_x
_atom_site_fract_y
_atom_site_fract_z
Ac1 Ac 0.0000 0.0000 0.0000
Th1 Th 0.3333 0.6667 0.5002
Bi1 Bi 0.6667 0.3333 0.4962
```



First-principles (PBE) data for a relaxed structure of AcThBi, as listed in the Alexandria database.

Excess energy over the best structure of this formula in the dataset (eV/f.u.): 0.14
ΔH_f (0 K) (eV per atom): -0.282

Structure (CIF):
```
data_AcThBi
_space_group_name_H-M_alt 'P 4/n m m'
_space_group_IT_number 129
_cell_length_a 4.716
_cell_length_b 4.716
_cell_length_c 10.452
_cell_angle_alpha 90.00
_cell_angle_beta 90.00
_cell_angle_gamma 90.00
loop_
_space_group_symop_operation_xyz
'x,y,z'
'-x,-y,-z'
'-y+1/2,x,z'
'y+1/2,-x,-z'
'-x+1/2,-y+1/2,z'
'x+1/2,y+1/2,-z'
'y,-x+1/2,z'
'-y,x+1/2,-z'
'x+1/2,-y,-z'
'-x+1/2,y,z'
'-y,-x,-z'
'y,x,z'
'-x,y+1/2,-z'
'x,-y+1/2,z'
'y+1/2,x+1/2,-z'
'-y+1/2,-x+1/2,z'
loop_
_atom_site_label
_atom_site_type_symbol
_atom_site_fract_x
_atom_site_fract_y
_atom_site_fract_z
Ac1 Ac 0.250 0.250 0.193
Th1 Th 0.250 0.250 0.558
Bi1 Bi 0.250 0.250 0.865
```



First-principles (PBE) data for a relaxed structure of AcThTlBi, as listed in the Alexandria database.

ΔH_f (0 K) (eV per atom): -0.299

Structure (CIF):
```
data_AcThTlBi
_space_group_name_H-M_alt 'F -4 3 m'
_space_group_IT_number 216
_space_group_name_Hall 'F -4 2 3'
_cell_length_a 8.084
_cell_length_b 8.084
_cell_length_c 8.084
_cell_angle_alpha 90.00
_cell_angle_beta 90.00
_cell_angle_gamma 90.00
loop_
_atom_site_label
_atom_site_type_symbol
_atom_site_fract_x
_atom_site_fract_y
_atom_site_fract_z
Ac1 Ac 0.000 0.000 0.000
Th1 Th 0.000 0.000 0.500
Tl1 Tl 0.250 0.250 0.250
Bi1 Bi 0.250 0.250 0.750
```